An optimized crystal structure of Ca2BrN2. Source: Alexandria, functional GGA-PBE.

- Final energy: -5.55 eV per atom
- Formation energy without anion corrections: -1.0815 eV/atom

POSCAR file:
```
Ca2BrN2
1.0
4.008 0.000 0.000
0.000 6.552 0.110
-2.004 -1.650 7.036
Ca Br N
4 2 4
Direct
0.855 0.156 0.313
0.458 0.656 0.313
0.145 0.844 0.687
0.542 0.344 0.687
0.749 0.750 0.000
0.251 0.250 0.000
0.906 0.474 0.553
0.353 0.026 0.447
0.094 0.526 0.447
0.647 0.974 0.553
```